The following is a PBE-GGA calculation of a relaxed structure of CaLa4Re, from Alexandria.

Total magnetic moment   0.0 Bohr magnetons per cell
Energy relative to the lowest polymorph listed for this composition   753 meV/atom
Calculated formation energy   873 meV/atom

Unit cell a=6.362 b=6.362 c=6.362 alpha=60.00 beta=60.00 gamma=60.00
Sites, in units of the cell vectors:
Ca (0.000, 0.000, 0.000)
La (0.868, 0.377, 0.377)
La (0.377, 0.377, 0.868)
La (0.377, 0.868, 0.377)
La (0.377, 0.377, 0.377)
Re (0.750, 0.750, 0.750)